Compound: Fe6CoPd12
Source: Alexandria
Functional: PBE-GGA
Structure: relaxed

Computed properties:
Electronic total energy = -121.03 eV/f.u.
Density of states at the Fermi level = 0.964 states/eV/atom
Magnetization = 73.1 μB/cell
Energy relative to the elements = -0.044 eV per atom

a = 11.8833 Å, b = 11.8833 Å, c = 6.6742 Å
α = 90.00°, β = 90.00°, γ = 120.00°
Space group R-3 (No. 148, hexagonal axes)
Unique sites:
Fe1 0.0307 0.7514 0.3351 (multiplicity 18)
Co1 0.0000 0.0000 0.0000 (multiplicity 3)
Pd1 0.0102 0.8705 0.6654 (multiplicity 18)
Pd2 0.0680 0.5093 0.6720 (multiplicity 18)